CaTe2N2: relaxed, PBE-GGA.

Summary:
As for the formation energy from raw total energies: 0.695 eV per atom. As for the crystal system: tetragonal. The polymorph energy (0 for the lowest one) comes out at 0 meV per atom.

Cell: 4.232 4.232 6.184 Å, 90.00 90.00 90.00°
Fractional positions:
Ca1 0.500 0.500 0.500
Te1 0.000 0.000 0.000
Te2 0.000 0.000 0.500
N1 0.000 0.500 0.000
N2 0.500 0.000 0.000